DFT (PBE with a Hubbard U) results for a relaxed CsLiH4W2SO3 crystal.

Results
- Volume: 197.6 Å³ per cell
- Space group: No. 8
- Crystal system: monoclinic
- DFT total energy: -4.5162 eV per atom
- Mass density: 5.0 g cm⁻³
- DOS(E_F): 0.1 states/eV per cell
- Magnetic moment: 0.333 μB per atom

Cell: 5.3387 5.3387 9.5208 Å, 114.88 114.88 55.93°
Last column: nearest neighbours and their distance in Å.
Positions (direct):
Cs: 0.0000 0.0000 0.0000  7 H 3.05-3.31, 2 O 3.26
Li: 0.1842 0.1842 0.6173  3 O 1.87-1.97, 1 H 1.99
H: 0.0559 0.5990 0.1861  2 W 1.89-1.95
H: 0.0857 0.0857 0.3798  1 W 1.86, 1 Li 1.99
H: 0.5990 0.0559 0.1861  2 W 1.89-1.95
H: 0.6460 0.6460 0.2525  2 W 1.88-1.94
W: 0.4842 0.4842 0.3150  3 H 1.88-1.95
W: 0.8805 0.8805 0.3625  4 H 1.86-1.94
S: 0.5441 0.5441 0.7099  3 O 1.52-1.55
O: 0.2727 0.7637 0.6013  1 S 1.55
O: 0.4069 0.4069 0.7519  1 S 1.52
O: 0.7637 0.2727 0.6013  1 S 1.55